Below is Nd8Sm6Tl after structural relaxation, with properties calculated at the PBE level.

Structure (POSCAR):
```
Nd8Sm6Tl
1.0
6.6294 0.0000 0.0000
0.0000 8.2131 -4.7418
0.0000 0.0000 9.4837
Sm Nd Tl
6 8 1
Direct
0.3315 0.0944 0.4476
0.6685 0.4476 0.3532
0.3315 0.3532 0.9056
0.3315 0.5524 0.6468
0.6685 0.6468 0.0944
0.6685 0.9056 0.5524
0.1806 0.2698 0.2287
0.8194 0.7302 0.7713
0.1806 0.9589 0.7302
0.1806 0.7713 0.0411
0.8194 0.0411 0.2698
0.8613 0.3333 0.6667
0.1387 0.6667 0.3333
0.8194 0.2287 0.9589
0.5000 0.0000 0.0000
```

Computed properties:
- SG = P-3, No. 147
- formation energy (eV per atom) = 0.07
- crystal system = trigonal